# 1
# LaSb2RhI | Alexandria | GGA-PBE | optimized geometry
# Energy relative to the elements, uncorrected   -303 meV/atom
# E above lowest polymorph   0 meV/atom
data_LaSb2RhI
_cell_length_a 5.170
_cell_length_b 5.170
_cell_length_c 5.499
_cell_angle_alpha 90.00
_cell_angle_beta 90.00
_cell_angle_gamma 90.00
_symmetry_space_group_name_H-M 'P 4/m m m'
_symmetry_Int_Tables_number 123
_symmetry_space_group_name_Hall '-P 4 2'
loop_
_atom_site_label
_atom_site_type_symbol
_atom_site_fract_x
_atom_site_fract_y
_atom_site_fract_z
La1 La 0.000 0.000 0.000
Sb1 Sb 0.000 0.500 0.500
Rh1 Rh 0.500 0.500 0.500
I1 I 0.500 0.500 0.000


# 2
# La8SbRh3I4 | Alexandria | GGA-PBE | optimized geometry
# Energy relative to the elements, uncorrected   -1022 meV/atom
data_La8SbRh3I4
_cell_length_a 15.196
_cell_length_b 8.763
_cell_length_c 9.576
_cell_angle_alpha 90.00
_cell_angle_beta 121.94
_cell_angle_gamma 90.00
_symmetry_space_group_name_H-M 'C 1 2/m 1'
_symmetry_Int_Tables_number 12
_symmetry_space_group_name_Hall '-C 2y'
loop_
_atom_site_label
_atom_site_type_symbol
_atom_site_fract_x
_atom_site_fract_y
_atom_site_fract_z
La1 La 0.025 0.230 0.308
La2 La 0.230 0.000 0.690
La3 La 0.243 0.500 0.692
Sb1 Sb 0.000 0.500 0.500
Rh1 Rh 0.000 0.000 0.500
Rh2 Rh 0.250 0.250 0.500
I1 I 0.000 0.000 0.000
I2 I 0.000 0.500 0.000
I3 I 0.250 0.250 0.000


# 3
# LaSb2RhI | Alexandria | GGA-PBE | optimized geometry
# Energy relative to the elements, uncorrected   887 meV/atom
# E above lowest polymorph   1190 meV/atom
data_LaSb2RhI
_cell_length_a 6.102
_cell_length_b 6.102
_cell_length_c 6.077
_cell_angle_alpha 90.00
_cell_angle_beta 90.00
_cell_angle_gamma 90.00
_symmetry_space_group_name_H-M 'P 4/m m m'
_symmetry_Int_Tables_number 123
_symmetry_space_group_name_Hall '-P 4 2'
loop_
_atom_site_label
_atom_site_type_symbol
_atom_site_fract_x
_atom_site_fract_y
_atom_site_fract_z
La1 La 0.000 0.000 0.000
Sb1 Sb 0.000 0.500 0.000
Rh1 Rh 0.500 0.500 0.500
I1 I 0.000 0.000 0.500


# 4
# La8Rh3SeI3 | Alexandria | GGA-PBE | optimized geometry
# Energy relative to the elements, uncorrected   -1001 meV/atom
data_La8Rh3SeI3
_cell_length_a 8.6405
_cell_length_b 8.6405
_cell_length_c 23.4797
_cell_angle_alpha 90.00
_cell_angle_beta 90.00
_cell_angle_gamma 120.00
_symmetry_space_group_name_H-M 'R -3 m'
_symmetry_Int_Tables_number 166
_symmetry_space_group_name_Hall '-R 3 2"'
loop_
_atom_site_label
_atom_site_type_symbol
_atom_site_fract_x
_atom_site_fract_y
_atom_site_fract_z
La1 La 0.0000 0.0000 0.2306
La2 La 0.0201 0.5100 0.7667
Rh1 Rh 0.0000 0.5000 0.5000
Se1 Se 0.0000 0.0000 0.5000
I1 I 0.0000 0.5000 0.0000


# 5
# La6Rh2SeI3 | Alexandria | GGA-PBE | optimized geometry
# Energy relative to the elements, uncorrected   -1177 meV/atom
data_La6Rh2SeI3
_cell_length_a 7.495
_cell_length_b 12.993
_cell_length_c 8.461
_cell_angle_alpha 90.00
_cell_angle_beta 107.07
_cell_angle_gamma 90.00
_symmetry_space_group_name_H-M 'C 1 2/m 1'
_symmetry_Int_Tables_number 12
_symmetry_space_group_name_Hall '-C 2y'
loop_
_atom_site_label
_atom_site_type_symbol
_atom_site_fract_x
_atom_site_fract_y
_atom_site_fract_z
La1 La 0.211 0.000 0.192
La2 La 0.242 0.324 0.193
Rh1 Rh 0.000 0.167 0.000
Se1 Se 0.000 0.500 0.000
I1 I 0.000 0.000 0.500
I2 I 0.000 0.338 0.500


# 6
# La4RhSe2I | Alexandria | GGA-PBE | optimized geometry
# Energy relative to the elements, uncorrected   -1396 meV/atom
data_La4RhSe2I
_cell_length_a 7.634
_cell_length_b 4.245
_cell_length_c 7.764
_cell_angle_alpha 90.00
_cell_angle_beta 108.84
_cell_angle_gamma 90.00
_symmetry_space_group_name_H-M 'P 1 2/m 1'
_symmetry_Int_Tables_number 10
_symmetry_space_group_name_Hall '-P 2y'
loop_
_atom_site_label
_atom_site_type_symbol
_atom_site_fract_x
_atom_site_fract_y
_atom_site_fract_z
La1 La 0.228 0.000 0.229
La2 La 0.268 0.500 0.783
Rh1 Rh 0.500 0.000 0.000
Se1 Se 0.000 0.000 0.500
Se2 Se 0.000 0.500 0.000
I1 I 0.500 0.500 0.500


# 7
# La4RhSeI2 | Alexandria | GGA-PBE | optimized geometry
# Energy relative to the elements, uncorrected   -1245 meV/atom
data_La4RhSeI2
_cell_length_a 7.797
_cell_length_b 4.200
_cell_length_c 8.223
_cell_angle_alpha 90.00
_cell_angle_beta 106.98
_cell_angle_gamma 90.00
_symmetry_space_group_name_H-M 'P 1 2/m 1'
_symmetry_Int_Tables_number 10
_symmetry_space_group_name_Hall '-P 2y'
loop_
_atom_site_label
_atom_site_type_symbol
_atom_site_fract_x
_atom_site_fract_y
_atom_site_fract_z
La1 La 0.210 0.000 0.193
La2 La 0.262 0.500 0.794
Rh1 Rh 0.000 0.500 0.000
Se1 Se 0.500 0.000 0.000
I1 I 0.000 0.000 0.500
I2 I 0.500 0.500 0.500


# 8
# La8SiRh3I3 | Alexandria | GGA-PBE | optimized geometry
# Energy relative to the elements, uncorrected   -864 meV/atom
data_La8SiRh3I3
_cell_length_a 14.921
_cell_length_b 8.606
_cell_length_c 9.338
_cell_angle_alpha 90.00
_cell_angle_beta 122.13
_cell_angle_gamma 90.00
_symmetry_space_group_name_H-M 'C 1 2/m 1'
_symmetry_Int_Tables_number 12
_symmetry_space_group_name_Hall '-C 2y'
loop_
_atom_site_label
_atom_site_type_symbol
_atom_site_fract_x
_atom_site_fract_y
_atom_site_fract_z
La1 La 0.021 0.241 0.305
La2 La 0.232 0.000 0.695
La3 La 0.238 0.500 0.695
Si1 Si 0.000 0.500 0.500
Rh1 Rh 0.000 0.000 0.500
Rh2 Rh 0.250 0.250 0.500
I1 I 0.000 0.500 0.000
I2 I 0.250 0.250 0.000


# 9
# LaSmRhI | Alexandria | GGA-PBE | optimized geometry
# Energy relative to the elements, uncorrected   -993 meV/atom
data_LaSmRhI
_cell_length_a 4.1693
_cell_length_b 4.1693
_cell_length_c 24.7007
_cell_angle_alpha 90.00
_cell_angle_beta 90.00
_cell_angle_gamma 120.00
_symmetry_space_group_name_H-M 'R 3 m'
_symmetry_Int_Tables_number 160
_symmetry_space_group_name_Hall 'R 3 -2"'
loop_
_atom_site_label
_atom_site_type_symbol
_atom_site_fract_x
_atom_site_fract_y
_atom_site_fract_z
La1 La 0.0000 0.0000 0.0000
Sm1 Sm 0.0000 0.0000 0.2102
Rh1 Rh 0.0000 0.0000 0.6047
I1 I 0.0000 0.0000 0.7760


# 10
# LaTbRhI | Alexandria | GGA-PBE | optimized geometry
# Energy relative to the elements, uncorrected   -995 meV/atom
data_LaTbRhI
_cell_length_a 4.1418
_cell_length_b 4.1418
_cell_length_c 24.5024
_cell_angle_alpha 90.00
_cell_angle_beta 90.00
_cell_angle_gamma 120.00
_symmetry_space_group_name_H-M 'R 3 m'
_symmetry_Int_Tables_number 160
_symmetry_space_group_name_Hall 'R 3 -2"'
loop_
_atom_site_label
_atom_site_type_symbol
_atom_site_fract_x
_atom_site_fract_y
_atom_site_fract_z
La1 La 0.0000 0.0000 0.0000
Tb1 Tb 0.0000 0.0000 0.7891
Rh1 Rh 0.0000 0.0000 0.3965
I1 I 0.0000 0.0000 0.2230


# 11
# La6TcRh2I3 | Alexandria | GGA-PBE | optimized geometry
# Energy relative to the elements, uncorrected   -868 meV/atom
data_La6TcRh2I3
_cell_length_a 7.332
_cell_length_b 12.701
_cell_length_c 8.628
_cell_angle_alpha 90.00
_cell_angle_beta 106.48
_cell_angle_gamma 90.00
_symmetry_space_group_name_H-M 'C 1 2/m 1'
_symmetry_Int_Tables_number 12
_symmetry_space_group_name_Hall '-C 2y'
loop_
_atom_site_label
_atom_site_type_symbol
_atom_site_fract_x
_atom_site_fract_y
_atom_site_fract_z
La1 La 0.225 0.163 0.186
La2 La 0.236 0.500 0.187
Tc1 Tc 0.000 0.000 0.000
Rh1 Rh 0.000 0.333 0.000
I1 I 0.000 0.165 0.500
I2 I 0.000 0.500 0.500


# 12
# LaTeRhI2 | Alexandria | GGA-PBE | optimized geometry
# Energy relative to the elements, uncorrected   -511 meV/atom
# E above lowest polymorph   0 meV/atom
data_LaTeRhI2
_cell_length_a 5.321
_cell_length_b 5.321
_cell_length_c 5.404
_cell_angle_alpha 90.00
_cell_angle_beta 90.00
_cell_angle_gamma 90.00
_symmetry_space_group_name_H-M 'P 4/m m m'
_symmetry_Int_Tables_number 123
_symmetry_space_group_name_Hall '-P 4 2'
loop_
_atom_site_label
_atom_site_type_symbol
_atom_site_fract_x
_atom_site_fract_y
_atom_site_fract_z
La1 La 0.000 0.000 0.000
Te1 Te 0.500 0.500 0.000
Rh1 Rh 0.500 0.500 0.500
I1 I 0.000 0.500 0.500


| no. | density of states at the Fermi level (states/eV/atom) |
| --- | --- |
| 1 | 1.07 |
| 2 | 0.71 |
| 3 | 2.12 |
| 4 | 0.86 |
| 5 | 0.64 |
| 6 | 0.78 |
| 7 | 0.81 |
| 8 | 0.96 |
| 9 | 0.20 |
| 10 | 0.14 |
| 11 | 0.62 |
| 12 | 0.96 |